# 1
A geometry-optimized SrCrB12 structure, computed with PBE-GGA.

The structure in CIF format:
```
data_SrCrB12
_cell_length_a 4.1593
_cell_length_b 4.1593
_cell_length_c 8.3003
_cell_angle_alpha 90.00
_cell_angle_beta 90.00
_cell_angle_gamma 90.00
_symmetry_space_group_name_H-M 'P 4/m m m'
_symmetry_Int_Tables_number 123
_symmetry_space_group_name_Hall '-P 4 2'
loop_
_atom_site_label
_atom_site_type_symbol
_atom_site_fract_x
_atom_site_fract_y
_atom_site_fract_z
Sr1 Sr 0.0000 0.0000 0.0000
Cr1 Cr 0.0000 0.0000 0.5000
B1 B 0.2006 0.5000 0.2532
B2 B 0.5000 0.5000 0.1019
B3 B 0.5000 0.5000 0.4013
```

## Properties
Raw total energy   -92.1 eV for the cell shown
N(E_F)   0.49 states/eV/atom
E_form   -0.0459 eV per atom
Magnetic moment   4.286 Bohr magnetons per cell

# 2
A geometry-optimized Sr2Cr2B structure, computed with PBE-GGA.

The structure in CIF format:
```
data_Sr2Cr2B
_cell_length_a 8.2633
_cell_length_b 8.2633
_cell_length_c 4.3031
_cell_angle_alpha 90.00
_cell_angle_beta 90.00
_cell_angle_gamma 90.00
_symmetry_space_group_name_H-M 'P 4/m b m'
_symmetry_Int_Tables_number 127
_symmetry_space_group_name_Hall '-P 4 2ab'
loop_
_atom_site_label
_atom_site_type_symbol
_atom_site_fract_x
_atom_site_fract_y
_atom_site_fract_z
Sr1 Sr 0.2027 0.2973 0.0000
Cr1 Cr 0.0747 0.5747 0.5000
B1 B 0.0000 0.0000 0.0000
```

## Properties
Raw total energy   -43.8 eV for the cell shown
N(E_F)   0.95 states/eV/atom
E_form   1.4786 eV per atom
Excess energy over the best structure of this formula in the dataset   0.554 eV per atom
Magnetic moment   0.001 Bohr magnetons per cell

# 3
A geometry-optimized Sr2CrB2 structure, computed with PBE-GGA.

The structure in CIF format:
```
data_Sr2CrB2
_cell_length_a 8.1633
_cell_length_b 8.1633
_cell_length_c 3.0120
_cell_angle_alpha 90.00
_cell_angle_beta 90.00
_cell_angle_gamma 90.00
_symmetry_space_group_name_H-M 'P 4/m b m'
_symmetry_Int_Tables_number 127
_symmetry_space_group_name_Hall '-P 4 2ab'
loop_
_atom_site_label
_atom_site_type_symbol
_atom_site_fract_x
_atom_site_fract_y
_atom_site_fract_z
Sr1 Sr 0.1437 0.3563 0.0000
Cr1 Cr 0.0000 0.0000 0.0000
B1 B 0.1549 0.6549 0.5000
```

## Properties
Raw total energy   -35.5 eV for the cell shown
N(E_F)   1.30 states/eV/atom
E_form   1.7180 eV per atom
Excess energy over the best structure of this formula in the dataset   0.323 eV per atom
Magnetic moment   0.063 Bohr magnetons per cell

# 4
A geometry-optimized Sr2CrB2 structure, computed with PBE-GGA.

The structure in CIF format:
```
data_Sr2CrB2
_cell_length_a 2.9303
_cell_length_b 2.9303
_cell_length_c 20.4069
_cell_angle_alpha 90.00
_cell_angle_beta 90.00
_cell_angle_gamma 90.00
_symmetry_space_group_name_H-M 'I 4/m m m'
_symmetry_Int_Tables_number 139
_symmetry_space_group_name_Hall '-I 4 2'
loop_
_atom_site_label
_atom_site_type_symbol
_atom_site_fract_x
_atom_site_fract_y
_atom_site_fract_z
Sr1 Sr 0.0000 0.0000 0.1245
Cr1 Cr 0.0000 0.0000 0.5000
B1 B 0.0000 0.5000 0.2500
```

## Properties
Raw total energy   -38.7 eV for the cell shown
N(E_F)   0.88 states/eV/atom
E_form   1.3949 eV per atom
Excess energy over the best structure of this formula in the dataset   0.000 eV per atom
Magnetic moment   0.000 Bohr magnetons per cell